1.
Material: Rb2CuGeCl5
Method: DFT, GGA-PBE
State: relaxed

```
data_Rb2CuGeCl5
_chemical_formula_sum 'Rb8 Cu4 Ge4 Cl20'
_cell_length_a 4.0718
_cell_length_b 19.2376
_cell_length_c 13.3309
_cell_angle_alpha 90.00
_cell_angle_beta 90.00
_cell_angle_gamma 90.00
_symmetry_space_group_name_H-M 'C m c 21'
_symmetry_Int_Tables_number 36
_symmetry_space_group_name_Hall 'C 2c -2'
loop_
_atom_site_label
_atom_site_fract_x
_atom_site_fract_y
_atom_site_fract_z
Rb1 0.0000 0.1143 0.0000
Rb2 0.0000 0.1232 0.6010
Cu1 0.0000 0.4669 0.7776
Ge1 0.0000 0.2111 0.3073
Cl1 0.0000 0.0419 0.3544
Cl2 0.0000 0.2865 0.9441
Cl3 0.0000 0.2938 0.6704
Cl4 0.0000 0.3365 0.3029
Cl5 0.0000 0.4929 0.6122
```

Results
- VASP energy: -3.4456 eV/atom
- Uncorrected formation energy: -1.2365 eV per atom

2.
Material: CuGeRhCl2
Method: DFT, GGA-PBE
State: relaxed

```
data_CuGeRhCl2
_chemical_formula_sum 'Cu1 Ge1 Rh1 Cl2'
_cell_length_a 5.1457
_cell_length_b 5.1457
_cell_length_c 4.5691
_cell_angle_alpha 90.00
_cell_angle_beta 90.00
_cell_angle_gamma 90.00
_symmetry_space_group_name_H-M 'P 4/m m m'
_symmetry_Int_Tables_number 123
_symmetry_space_group_name_Hall '-P 4 2'
loop_
_atom_site_label
_atom_site_fract_x
_atom_site_fract_y
_atom_site_fract_z
Cu1 0.0000 0.0000 0.0000
Ge1 0.0000 0.0000 0.5000
Rh1 0.5000 0.5000 0.0000
Cl1 0.0000 0.5000 0.5000
```

Results
- N(E_F): 8.5 states/eV per cell
- VASP energy: -3.2933 eV/atom
- Uncorrected formation energy: 0.6584 eV per atom

Copy entry 1 word for word.
Material: Rb2CuGeCl5
Method: DFT, GGA-PBE
State: relaxed

```
data_Rb2CuGeCl5
_chemical_formula_sum 'Rb8 Cu4 Ge4 Cl20'
_cell_length_a 4.0718
_cell_length_b 19.2376
_cell_length_c 13.3309
_cell_angle_alpha 90.00
_cell_angle_beta 90.00
_cell_angle_gamma 90.00
_symmetry_space_group_name_H-M 'C m c 21'
_symmetry_Int_Tables_number 36
_symmetry_space_group_name_Hall 'C 2c -2'
loop_
_atom_site_label
_atom_site_fract_x
_atom_site_fract_y
_atom_site_fract_z
Rb1 0.0000 0.1143 0.0000
Rb2 0.0000 0.1232 0.6010
Cu1 0.0000 0.4669 0.7776
Ge1 0.0000 0.2111 0.3073
Cl1 0.0000 0.0419 0.3544
Cl2 0.0000 0.2865 0.9441
Cl3 0.0000 0.2938 0.6704
Cl4 0.0000 0.3365 0.3029
Cl5 0.0000 0.4929 0.6122
```

Results
- VASP energy: -3.4456 eV/atom
- Uncorrected formation energy: -1.2365 eV per atom